Record 1
{"formula": "B4OsW", "functional": "SCAN", "state": "PBEsol geometry", "crystal_system": "hexagonal", "vol_a3_per_cell": 55.0, "rho_g_cm3": 12.60, "ef_mev_per_atom": -269, "sg": "P-6m2 (187)", "lattice_angstrom": [[2.9089, 0.0000, 0.0000], [-1.4545, 2.5192, 0.0000], [0.0000, 0.0000, 7.5069]], "species": ["B", "B", "B", "B", "Os", "W"], "fractional_positions": [[0.0000, 0.0000, 0.2936], [0.3333, 0.6667, 0.2013], [0.3333, 0.6667, 0.7987], [0.0000, 0.0000, 0.7064], [0.0000, 0.0000, 0.0000], [0.3333, 0.6667, 0.5000]]}


Record 2
{"formula": "Y3B6Os8", "functional": "SCAN", "state": "PBEsol geometry", "crystal_system": "orthorhombic", "vol_a3_per_cell": 227.3, "rho_g_cm3": 13.54, "ef_mev_per_atom": -458, "sg": "Fmmm (69)", "lattice_angstrom": [[-0.2936, -2.5539, -4.8343], [4.1604, 0.3136, -3.5190], [3.4247, -8.4672, 1.1645]], "species": ["Y", "Y", "Y", "B", "B", "B", "B", "B", "B", "Os", "Os", "Os", "Os", "Os", "Os", "Os", "Os"], "fractional_positions": [[0.0000, 0.0000, 0.0000], [0.1791, 0.0000, 0.6418], [0.8209, 0.0000, 0.3582], [0.8219, 0.7071, 0.6492], [0.1781, 0.2929, 0.3508], [0.4710, 0.7071, 0.3508], [0.6857, 0.6287, 0.0000], [0.5290, 0.2929, 0.6492], [0.3143, 0.3713, 0.0000], [0.4217, 0.0000, 0.1565], [0.0911, 0.5000, 0.8177], [0.5911, 0.5000, 0.8177], [0.4089, 0.5000, 0.1823], [0.5783, 0.0000, 0.8435], [0.7500, 0.5000, 0.5000], [0.9089, 0.5000, 0.1823], [0.2500, 0.5000, 0.5000]]}


Record 3
{"formula": "YB4Os", "functional": "SCAN", "state": "PBEsol geometry", "crystal_system": "orthorhombic", "vol_a3_per_cell": 240.9, "rho_g_cm3": 8.89, "ef_mev_per_atom": -657, "sg": "Pbam (55)", "lattice_angstrom": [[-3.2913, 1.2130, -0.3893], [-1.7185, -5.3124, -2.0236], [-2.4799, -3.2851, 10.7302]], "species": ["Y", "Y", "Y", "Y", "B", "B", "B", "B", "B", "B", "B", "B", "B", "B", "B", "B", "B", "B", "B", "B", "Os", "Os", "Os", "Os"], "fractional_positions": [[0.0000, 0.6285, 0.6499], [0.0000, 0.3715, 0.3501], [0.0000, 0.1285, 0.8501], [0.0000, 0.8715, 0.1499], [0.5000, 0.9754, 0.6917], [0.5000, 0.0246, 0.3083], [0.5000, 0.4754, 0.8083], [0.5000, 0.5246, 0.1917], [0.5000, 0.7893, 0.8143], [0.5000, 0.2107, 0.1857], [0.5000, 0.2893, 0.6857], [0.5000, 0.7107, 0.3143], [0.5000, 0.8638, 0.9697], [0.5000, 0.1362, 0.0303], [0.5000, 0.3638, 0.5303], [0.5000, 0.6362, 0.4697], [0.5000, 0.8874, 0.5468], [0.5000, 0.1126, 0.4532], [0.5000, 0.3874, 0.9532], [0.5000, 0.6126, 0.0468], [0.0000, 0.6403, 0.9070], [0.0000, 0.3597, 0.0930], [0.0000, 0.1403, 0.5930], [0.0000, 0.8597, 0.4070]]}


Record 4
{"formula": "ZrB3Os", "functional": "SCAN", "state": "PBEsol geometry", "crystal_system": "cubic", "vol_a3_per_cell": 63.6, "rho_g_cm3": 8.19, "ef_mev_per_atom": 412, "sg": "Pm-3m (221)", "lattice_angstrom": [[-0.5534, 1.9980, 3.4122], [-3.8579, 0.4827, -0.9084], [-0.8671, -3.4230, 1.8636]], "species": ["B", "B", "B", "Os", "Zr"], "fractional_positions": [[0.0000, 0.5000, 0.0000], [0.0000, 0.0000, 0.5000], [0.5000, 0.0000, 0.0000], [0.0000, 0.0000, 0.0000], [0.5000, 0.5000, 0.5000]]}


Record 5
{"formula": "Zr2B2Os", "functional": "SCAN", "state": "PBEsol geometry", "crystal_system": "tetragonal", "vol_a3_per_cell": 129.2, "rho_g_cm3": 10.13, "ef_mev_per_atom": -853, "sg": "P4/mbm (127)", "lattice_angstrom": [[-3.1970, 1.0744, -0.6578], [-2.2303, -4.4249, 3.6126], [0.2824, 3.7881, 4.8142]], "species": ["B", "B", "B", "B", "Os", "Os", "Zr", "Zr", "Zr", "Zr"], "fractional_positions": [[0.0000, 0.3921, 0.8921], [0.0000, 0.8921, 0.6079], [0.0000, 0.6079, 0.1079], [0.0000, 0.1079, 0.3921], [0.0000, 0.0000, 0.0000], [0.0000, 0.5000, 0.5000], [0.5000, 0.1800, 0.6800], [0.5000, 0.6800, 0.8200], [0.5000, 0.8200, 0.3200], [0.5000, 0.3200, 0.1800]]}


Record 6
{"formula": "B6P", "functional": "SCAN", "state": "PBEsol geometry", "crystal_system": "trigonal", "vol_a3_per_cell": 121.4, "rho_g_cm3": 2.62, "ef_mev_per_atom": -358, "sg": "R-3m (166)", "lattice_angstrom": [[-2.6940, -3.6329, 2.6252], [3.1950, -3.7980, 1.6476], [0.8655, 0.4514, 5.1376]], "species": ["P", "P", "B", "B", "B", "B", "B", "B", "B", "B", "B", "B", "B", "B"], "fractional_positions": [[0.4051, 0.4051, 0.4051], [0.5949, 0.5949, 0.5949], [0.7174, 0.1839, 0.1839], [0.1839, 0.1839, 0.7174], [0.1839, 0.7174, 0.1839], [0.8161, 0.2826, 0.8161], [0.2826, 0.8161, 0.8161], [0.8161, 0.8161, 0.2826], [0.3262, 0.0133, 0.0133], [0.0133, 0.0133, 0.3262], [0.0133, 0.3262, 0.0133], [0.9867, 0.6738, 0.9867], [0.6738, 0.9867, 0.9867], [0.9867, 0.9867, 0.6738]]}


Record 7
{"formula": "BPPb2", "functional": "SCAN", "state": "PBEsol geometry", "crystal_system": "tetragonal", "vol_a3_per_cell": 190.7, "rho_g_cm3": 7.94, "ef_mev_per_atom": 510, "sg": "I-42d (122)", "lattice_angstrom": [[5.7651, 0.0000, 0.0000], [0.0000, 5.7651, 0.0000], [-2.8826, -2.8826, 5.7387]], "species": ["Pb", "Pb", "Pb", "Pb", "P", "P", "B", "B"], "fractional_positions": [[0.4244, 0.8750, 0.2500], [0.8256, 0.3750, 0.2500], [0.1250, 0.1744, 0.7500], [0.6250, 0.5756, 0.7500], [0.2500, 0.7500, 0.5000], [0.0000, 0.0000, 0.0000], [0.7500, 0.2500, 0.5000], [0.5000, 0.5000, 0.0000]]}


Record 8
{"formula": "BPPb3", "functional": "SCAN", "state": "PBEsol geometry", "crystal_system": "cubic", "vol_a3_per_cell": 149.0, "rho_g_cm3": 7.39, "ef_mev_per_atom": 1405, "sg": "Pm-3m (221)", "lattice_angstrom": [[5.3014, 0.0000, 0.0000], [0.0000, 5.3014, 0.0000], [0.0000, 0.0000, 5.3014]], "species": ["Pb", "Pb", "Pb", "P", "B"], "fractional_positions": [[0.0000, 0.5000, 0.0000], [0.0000, 0.0000, 0.5000], [0.5000, 0.0000, 0.0000], [0.0000, 0.0000, 0.0000], [0.5000, 0.5000, 0.5000]]}


Record 9
{"formula": "BP2PbS", "functional": "SCAN", "state": "PBEsol geometry", "crystal_system": "tetragonal", "vol_a3_per_cell": 80.6, "rho_g_cm3": 6.43, "raw_formation_energy_mev_per_atom": 757, "sg": "P4/mmm (123)", "lattice_angstrom": [[-0.5815, 2.6152, 3.2889], [-2.4834, -2.8922, 1.8607], [3.5778, -1.7631, 2.0345]], "species": ["Pb", "P", "P", "S", "B"], "fractional_positions": [[0.5000, 0.5000, 0.5000], [0.0000, 0.5000, 0.0000], [0.5000, 0.0000, 0.0000], [0.0000, 0.0000, 0.5000], [0.0000, 0.0000, 0.0000]]}


Record 10
{"formula": "B2PPtSe", "functional": "SCAN", "state": "PBEsol geometry", "crystal_system": "tetragonal", "vol_a3_per_cell": 70.7, "rho_g_cm3": 7.67, "raw_formation_energy_mev_per_atom": 991, "sg": "P4/mmm (123)", "lattice_angstrom": [[-2.8055, -2.2721, -1.3386], [2.3528, -3.0394, 0.2279], [-1.4756, -0.8076, 4.4635]], "species": ["P", "B", "B", "Se", "Pt"], "fractional_positions": [[0.0000, 0.0000, 0.0000], [0.0000, 0.5000, 0.0000], [0.5000, 0.0000, 0.0000], [0.5000, 0.5000, 0.5000], [0.0000, 0.0000, 0.5000]]}


Record 11
{"formula": "RbB2P2", "functional": "SCAN", "state": "PBEsol geometry", "crystal_system": "tetragonal", "vol_a3_per_cell": 173.5, "rho_g_cm3": 3.24, "ef_mev_per_atom": 731, "sg": "P4/mbm (127)", "lattice_angstrom": [[2.9409, 0.0000, 0.0000], [0.0000, 7.6802, 0.0000], [0.0000, 0.0000, 7.6802]], "species": ["P", "P", "P", "P", "B", "B", "B", "B", "Rb", "Rb"], "fractional_positions": [[0.5000, 0.1136, 0.6136], [0.5000, 0.6136, 0.8864], [0.5000, 0.8864, 0.3864], [0.5000, 0.3864, 0.1136], [0.0000, 0.4183, 0.9183], [0.0000, 0.9183, 0.5817], [0.0000, 0.5817, 0.0817], [0.0000, 0.0817, 0.4183], [0.0000, 0.0000, 0.0000], [0.0000, 0.5000, 0.5000]]}


Record 12
{"formula": "Re2BTeP", "functional": "SCAN", "state": "PBEsol geometry", "crystal_system": "tetragonal", "vol_a3_per_cell": 76.5, "rho_g_cm3": 11.77, "raw_formation_energy_mev_per_atom": 1250, "sg": "P4/mmm (123)", "lattice_angstrom": [[-3.0609, -0.9982, -1.6970], [0.2260, -4.1127, 2.0114], [-2.4693, 1.5862, 3.5209]], "species": ["Re", "Re", "B", "Te", "P"], "fractional_positions": [[0.0000, 0.0000, 0.5000], [0.0000, 0.5000, 0.0000], [0.5000, 0.0000, 0.0000], [0.5000, 0.5000, 0.5000], [0.0000, 0.0000, 0.0000]]}